[1]
This record from the Alexandria database describes a PBEsol-optimized structure of PrTa3O9. The functional is meta-GGA SCAN.

Values from the calculation:
* size of the total moment: 0.0 Bohr magnetons per cell
* space group: P2_1/m, No. 11
* total energy: -1.931 Ry per atom

Cell and atoms, written as POSCAR:
```
PrTa3O9
1.0
5.4112 0.0000 -0.0003
0.0000 7.5586 0.0000
-0.3524 0.0000 8.2032
Pr O Ta
2 18 6
direct
0.9659 0.7500 0.5665 Pr
0.0341 0.2500 0.4335 Pr
0.3527 0.2500 0.6609 O
0.7338 0.0377 0.5327 O
0.6820 0.4528 0.8783 O
0.1535 0.5563 0.7866 O
0.2662 0.5377 0.4673 O
0.0842 0.2500 0.9827 O
0.5570 0.7500 0.6872 O
0.3180 0.5472 0.1217 O
0.8465 0.4437 0.2134 O
0.3180 0.9528 0.1217 O
0.7338 0.4623 0.5327 O
0.2662 0.9623 0.4673 O
0.6473 0.7500 0.3391 O
0.1535 0.9437 0.7866 O
0.8465 0.0563 0.2134 O
0.6820 0.0472 0.8783 O
0.4430 0.2500 0.3128 O
0.9158 0.7500 0.0173 O
0.5281 0.5068 0.3020 Ta
0.5281 0.9932 0.3020 Ta
0.0000 0.0000 0.0000 Ta
0.4719 0.4932 0.6980 Ta
0.0000 0.5000 0.0000 Ta
0.4719 0.0068 0.6980 Ta
```


[2]
This record from the Alexandria database describes a PBEsol-optimized structure of CoSiSn3. The functional is meta-GGA SCAN.

Values from the calculation:
* size of the total moment: 2.1 Bohr magnetons per cell
* space group: Pm-3m, No. 221
* total energy: -1.909 Ry per atom

Cell and atoms, written as POSCAR:
```
CoSiSn3
1.0
5.0815 0.0000 0.0000
0.0000 5.0815 0.0000
0.0000 0.0000 5.0815
Co Sn Si
1 3 1
direct
0.5000 0.5000 0.5000 Co
0.5000 0.0000 0.0000 Sn
0.0000 0.0000 0.5000 Sn
0.0000 0.5000 0.0000 Sn
0.0000 0.0000 0.0000 Si
```


[3]
This record from the Alexandria database describes a PBEsol-optimized structure of ScNbAs2Se. The functional is meta-GGA SCAN.

Values from the calculation:
* size of the total moment: 0.0 Bohr magnetons per cell
* space group: P4/mmm, No. 123
* total energy: -1.590 Ry per atom

Cell and atoms, written as POSCAR:
```
ScNbAs2Se
1.0
-2.3880 3.7728 -2.1051
-3.6353 -0.4550 3.3084
2.3256 3.1387 2.9871
As Se Nb Sc
2 1 1 1
direct
0.5000 0.0000 0.0000 As
0.0000 0.5000 0.0000 As
0.0000 0.0000 0.5000 Se
0.0000 0.0000 0.0000 Nb
0.5000 0.5000 0.5000 Sc
```


[4]
This record from the Alexandria database describes a PBEsol-optimized structure of TaCd2Sb. The functional is meta-GGA SCAN.

Values from the calculation:
* size of the total moment: 0.0 Bohr magnetons per cell
* space group: C2/m, No. 12
* total energy: -3.000 Ry per atom

Cell and atoms, written as POSCAR:
```
TaCd2Sb
1.0
-0.9606 2.0614 -2.0598
-4.5947 -2.7163 1.7092
2.1573 3.6530 3.7926
Cd Sb Ta
2 1 1
direct
0.5000 0.5000 0.5000 Cd
0.0000 0.0000 0.5000 Cd
0.5000 0.0000 0.0000 Sb
0.0000 0.5000 0.0000 Ta
```


[5]
This record from the Alexandria database describes a PBEsol-optimized structure of CdH3Ir. The functional is meta-GGA SCAN.

Values from the calculation:
* size of the total moment: 0.0 Bohr magnetons per cell
* space group: Pm-3m, No. 221
* total energy: -1.636 Ry per atom

Cell and atoms, written as POSCAR:
```
CdH3Ir
1.0
-1.0281 0.5077 3.3688
2.0036 -2.7559 1.0268
2.7554 2.1934 0.5104
Cd H Ir
1 3 1
direct
0.5000 0.5000 0.5000 Cd
0.0000 0.5000 0.0000 H
0.0000 0.0000 0.5000 H
0.5000 0.0000 0.0000 H
0.0000 0.0000 0.0000 Ir
```


[6]
This record from the Alexandria database describes a PBEsol-optimized structure of BaOsC2. The functional is meta-GGA SCAN.

Values from the calculation:
* size of the total moment: 0.0 Bohr magnetons per cell
* ΔE_f: 9.64 eV per formula unit
* space group: Fm-3m, No. 225

Cell and atoms, written as POSCAR:
```
BaOsC2
1.0
-3.3224 1.2590 2.4420
0.3679 0.0207 4.2955
0.1868 3.7439 2.1295
C Ba Os
2 1 1
direct
0.7500 0.7500 0.7500 C
0.2500 0.2500 0.2500 C
0.0000 0.0000 0.0000 Ba
0.5000 0.5000 0.5000 Os
```